Entry 1:
Material: BeCrIrC2
Method: DFT, GGA-PBE
State: optimized geometry

Cell lengths 3.6308, 3.7792, 3.6308 Å; angles 90.00, 90.00, 90.00 degrees
With the nearest neighbours (Å) after each atom.
Atoms (fractional coordinates):
Be1 0.0000 0.0000 0.0000  4 C 1.82, 2 Cr 1.89
Cr1 0.0000 0.5000 0.0000  2 Be 1.89
Ir1 0.5000 0.5000 0.5000  4 Cr 2.57, 8 C 2.62
C1 0.5000 0.0000 0.0000  2 Be 1.82
C2 0.0000 0.0000 0.5000  2 Be 1.82

## Properties
- E_form: 2.00 eV per atom
- Space group: No. 123

***

Entry 2:
Material: K2BeCrC
Method: DFT, GGA-PBE
State: optimized geometry

Cell lengths 6.0519, 4.3128, 6.0519 Å; angles 90.00, 90.00, 90.00 degrees
With the nearest neighbours (Å) after each atom.
Atoms (fractional coordinates):
C1 0.5000 0.5000 0.5000  8 K 3.72
Cr1 0.0000 0.5000 0.0000  2 Be 2.16
Be1 0.0000 0.0000 0.0000  2 Cr 2.16
K1 0.0000 0.0000 0.5000  2 Be 3.03
K2 0.5000 0.0000 0.0000  2 Be 3.03

## Properties
- E_form: 2.28 eV per atom
- Space group: No. 123

***

Entry 3:
Material: Sc2BeCrC
Method: DFT, GGA-PBE
State: optimized geometry

Cell lengths 4.5970, 4.0374, 4.5970 Å; angles 90.00, 90.00, 90.00 degrees
With the nearest neighbours (Å) after each atom.
Atoms (fractional coordinates):
Cr1 0.0000 0.0000 0.0000  2 Be 2.02
Sc1 0.0000 0.0000 0.5000  2 Cr 2.30
Be1 0.0000 0.5000 0.0000  2 Cr 2.02
Sc2 0.5000 0.0000 0.0000  2 Cr 2.30
C1 0.5000 0.5000 0.5000  8 Sc 3.06, 4 Be 3.25

## Properties
- E_form: 1.56 eV per atom
- Space group: No. 123

***

Entry 4:
Material: BeCr2CSe
Method: DFT, GGA-PBE
State: optimized geometry

Cell lengths 4.3177, 3.8933, 4.3177 Å; angles 90.00, 90.00, 90.00 degrees
With the nearest neighbours (Å) after each atom.
Atoms (fractional coordinates):
C1 0.5000 0.5000 0.5000  8 Cr 2.91, 4 Se 3.05
Cr1 0.0000 0.0000 0.5000  2 Be 2.16
Cr2 0.5000 0.0000 0.0000  2 Be 2.16
Se1 0.0000 0.5000 0.0000  2 Be 1.95
Be1 0.0000 0.0000 0.0000  2 Se 1.95, 4 Cr 2.16

## Properties
- E_form (uncorrected): 1.723 eV per atom
- Space group: No. 123

***

Entry 5:
Material: CsBe3C
Method: DFT, GGA-PBE
State: optimized geometry

Cell lengths 7.0879, 7.0879, 7.0879 Å; angles 90.00, 90.00, 90.00 degrees
With the nearest neighbours (Å) after each atom.
Atoms (fractional coordinates):
C1 0.5000 0.5000 0.5000  12 Be 5.01
Be1 0.0000 0.0000 0.5000  2 Cs 3.54
Be2 0.0000 0.5000 0.0000  2 Cs 3.54
Be3 0.5000 0.0000 0.0000  2 Cs 3.54
Cs1 0.0000 0.0000 0.0000  6 Be 3.54

## Properties
- E_form: 3.47 eV per atom
- Space group: No. 221

***

Entry 6:
Material: Cs2BeC2
Method: DFT, GGA-PBE
State: optimized geometry

Cell lengths 3.1822, 3.1822, 11.3805 Å; angles 81.96, 81.96, 90.00 degrees
With the nearest neighbours (Å) after each atom.
Atoms (fractional coordinates):
C1 0.2500 0.7500 0.5000  4 C 2.25
C2 0.7500 0.2500 0.5000  4 C 2.25
Be1 0.0000 0.0000 0.0000  4 Be 3.18
Cs1 0.3707 0.3707 0.2586  4 C 3.13, 4 Cs 3.18
Cs2 0.6293 0.6293 0.7414  4 C 3.13, 4 Cs 3.18

## Properties
- E_form: 2.44 eV per atom
- Space group: No. 139

***

Entry 7:
Material: Cs3BeC
Method: DFT, GGA-PBE
State: optimized geometry

Cell lengths 6.1867, 6.1867, 6.1867 Å; angles 90.00, 90.00, 90.00 degrees
With the nearest neighbours (Å) after each atom.
Atoms (fractional coordinates):
C1 0.0000 0.0000 0.0000  6 Cs 3.09
Cs1 0.0000 0.0000 0.5000  2 C 3.09
Cs2 0.0000 0.5000 0.0000  2 C 3.09
Cs3 0.5000 0.0000 0.0000  2 C 3.09
Be1 0.5000 0.5000 0.5000  12 Cs 4.37

## Properties
- E_form: 1.48 eV per atom
- Space group: No. 221

***

Entry 8:
Material: CsBe3C
Method: DFT, GGA-PBE
State: optimized geometry

Cell lengths 4.0244, 4.0244, 4.0244 Å; angles 90.00, 90.00, 90.00 degrees
With the nearest neighbours (Å) after each atom.
Atoms (fractional coordinates):
Be1 0.5000 0.0000 0.0000  2 C 2.01
C1 0.0000 0.0000 0.0000  6 Be 2.01
Be2 0.0000 0.5000 0.0000  2 C 2.01
Be3 0.0000 0.0000 0.5000  2 C 2.01
Cs1 0.5000 0.5000 0.5000  12 Be 2.85

## Properties
- E_form: 1.53 eV per atom
- Space group: No. 221

***

Entry 9:
Material: Cs2BeC2
Method: DFT, GGA-PBE
State: optimized geometry

Cell lengths 9.7774, 9.7774, 4.5837 Å; angles 90.00, 90.00, 90.00 degrees
With the nearest neighbours (Å) after each atom.
Atoms (fractional coordinates):
Cs1 0.3413 0.8413 0.0000  4 C 3.24
Cs2 0.8413 0.6587 0.0000  4 C 3.24
C1 0.9540 0.4540 0.5000  1 C 1.27
Be1 0.5000 0.5000 0.0000  4 Cs 3.68
C2 0.5460 0.9540 0.5000  1 C 1.27
C3 0.4540 0.0460 0.5000  1 C 1.27
C4 0.0460 0.5460 0.5000  1 C 1.27
Cs3 0.6587 0.1587 0.0000  4 C 3.24
Be2 0.0000 0.0000 0.0000  4 Cs 3.68
Cs4 0.1587 0.3413 0.0000  4 C 3.24

## Properties
- E_form: 1.11 eV per atom
- Space group: No. 127

***

Entry 10:
Material: CsBe2CuC
Method: DFT, GGA-PBE
State: optimized geometry

Cell lengths 3.7162, 6.3276, 3.7162 Å; angles 90.00, 90.00, 90.00 degrees
With the nearest neighbours (Å) after each atom.
Atoms (fractional coordinates):
Cs1 0.5000 0.5000 0.5000  4 Cu 2.63
Be1 0.5000 0.0000 0.0000  2 C 1.86
Cu1 0.0000 0.5000 0.0000  4 Cs 2.63
C1 0.0000 0.0000 0.0000  4 Be 1.86
Be2 0.0000 0.0000 0.5000  2 C 1.86

## Properties
- E_form: 1.13 eV per atom
- Space group: No. 123

***

Entry 11:
Material: CsBeGe2C
Method: DFT, GGA-PBE
State: optimized geometry

Cell lengths 5.6773, 3.3602, 5.6773 Å; angles 90.00, 90.00, 90.00 degrees
With the nearest neighbours (Å) after each atom.
Atoms (fractional coordinates):
Ge1 0.0000 0.0000 0.5000  2 Be 2.84
Cs1 0.5000 0.5000 0.5000  8 Ge 3.30, 2 Cs 3.36
C1 0.0000 0.5000 0.0000  2 Be 1.68
Ge2 0.5000 0.0000 0.0000  2 Be 2.84
Be1 0.0000 0.0000 0.0000  2 C 1.68

## Properties
- E_form: 1.15 eV per atom
- Space group: No. 123

***

Entry 12:
Material: Be3CuC
Method: DFT, GGA-PBE
State: optimized geometry

Cell lengths 3.5491, 3.5491, 3.5491 Å; angles 90.00, 90.00, 90.00 degrees
With the nearest neighbours (Å) after each atom.
Atoms (fractional coordinates):
C1 0.0000 0.0000 0.0000  6 Be 1.77
Be1 0.5000 0.0000 0.0000  2 C 1.77
Cu1 0.5000 0.5000 0.5000  12 Be 2.51
Be2 0.0000 0.5000 0.0000  2 C 1.77
Be3 0.0000 0.0000 0.5000  2 C 1.77

## Properties
- E_form: 0.28 eV per atom
- Space group: No. 221

***

Entry 13:
Material: BeCu3C
Method: DFT, GGA-PBE
State: optimized geometry

Cell lengths 3.8211, 3.8211, 3.8211 Å; angles 90.00, 90.00, 90.00 degrees
With the nearest neighbours (Å) after each atom.
Atoms (fractional coordinates):
Cu1 0.0000 0.5000 0.0000  2 C 1.91
Cu2 0.0000 0.0000 0.5000  2 C 1.91
Cu3 0.5000 0.0000 0.0000  2 C 1.91
C1 0.0000 0.0000 0.0000  6 Cu 1.91
Be1 0.5000 0.5000 0.5000  12 Cu 2.70

## Properties
- E_form: 0.54 eV per atom
- Space group: No. 221

***

Entry 14:
Material: Be3CuC
Method: DFT, GGA-PBE
State: optimized geometry

Cell lengths 3.9464, 3.9464, 3.9464 Å; angles 90.00, 90.00, 90.00 degrees
With the nearest neighbours (Å) after each atom.
Atoms (fractional coordinates):
Be1 0.0000 0.5000 0.0000  2 Cu 1.97
Be2 0.0000 0.0000 0.5000  2 Cu 1.97
Be3 0.5000 0.0000 0.0000  2 Cu 1.97
Cu1 0.0000 0.0000 0.0000  6 Be 1.97
C1 0.5000 0.5000 0.5000  12 Be 2.79

## Properties
- E_form: 1.75 eV per atom
- Space group: No. 221

***

Entry 15:
Material: BeCuC2
Method: DFT, GGA-PBE
State: optimized geometry

Cell lengths 3.3505, 3.3505, 6.4041 Å; angles 74.84, 74.84, 90.00 degrees
With the nearest neighbours (Å) after each atom.
Atoms (fractional coordinates):
C1 0.8750 0.7573 0.7500  2 Be 1.76, 2 C 1.90
Cu1 0.7500 0.2500 0.5000  4 C 2.11
Cu2 0.0000 0.0000 0.0000  4 C 2.11
C2 0.2427 0.6250 0.2500  2 Be 1.76, 2 C 1.90
C3 0.3750 0.4927 0.7500  2 Be 1.76, 2 C 1.90
Be1 0.5000 0.5000 0.0000  4 C 1.76
Be2 0.2500 0.7500 0.5000  4 C 1.76
C4 0.5073 0.1250 0.2500  2 Be 1.76, 2 C 1.90

## Properties
- E_form: 1.23 eV per atom
- Space group: No. 122

***

Entry 16:
Material: DyBeCuC
Method: DFT, GGA-PBE
State: optimized geometry

Cell lengths 3.6400, 3.6400, 8.2720 Å; angles 90.00, 90.00, 90.00 degrees
With the nearest neighbours (Å) after each atom.
Atoms (fractional coordinates):
Be1 0.0000 0.5000 0.3403  1 C 1.64
Dy1 0.0000 0.5000 0.8485  5 C 2.43-2.57
Dy2 0.5000 0.0000 0.1515  5 C 2.43-2.57
C1 0.0000 0.5000 0.1426  1 Be 1.64
C2 0.5000 0.0000 0.8574  1 Be 1.64
Be2 0.5000 0.0000 0.6597  1 C 1.64
Cu1 0.0000 0.0000 0.5000  4 Be 2.25
Cu2 0.5000 0.5000 0.5000  4 Be 2.25

## Properties
- E_form: -0.16 eV per atom
- Space group: No. 129

***

Entry 17:
Material: ErBeCuC
Method: DFT, GGA-PBE
State: optimized geometry

Cell lengths 3.5935, 3.5935, 8.3240 Å; angles 90.00, 90.00, 90.00 degrees
With the nearest neighbours (Å) after each atom.
Atoms (fractional coordinates):
Er1 0.5000 0.0000 0.1487  5 C 2.41-2.54
C1 0.5000 0.0000 0.8594  1 Be 1.63
Cu1 0.5000 0.5000 0.5000  4 Be 2.25
Be1 0.0000 0.5000 0.3368  1 C 1.63
Be2 0.5000 0.0000 0.6632  1 C 1.63
C2 0.0000 0.5000 0.1406  1 Be 1.63
Cu2 0.0000 0.0000 0.5000  4 Be 2.25
Er2 0.0000 0.5000 0.8513  5 C 2.41-2.54

## Properties
- E_form: -0.18 eV per atom
- Space group: No. 129

***

Entry 18:
Material: BeFe2CuC
Method: DFT, GGA-PBE
State: optimized geometry

Cell lengths 3.7420, 3.7420, 3.5462 Å; angles 90.00, 90.00, 90.00 degrees
With the nearest neighbours (Å) after each atom.
Atoms (fractional coordinates):
Cu1 0.5000 0.5000 0.5000  8 Fe 2.58, 4 Be 2.65
C1 0.0000 0.0000 0.0000  2 Be 1.77, 4 Fe 1.87
Fe1 0.0000 0.5000 0.0000  2 C 1.87
Be1 0.0000 0.0000 0.5000  2 C 1.77
Fe2 0.5000 0.0000 0.0000  2 C 1.87

## Properties
- E_form: 0.13 eV per atom
- Space group: No. 123

***

Entry 19:
Material: Be2GaCuC
Method: DFT, GGA-PBE
State: optimized geometry

Cell lengths 3.3756, 5.3753, 3.3756 Å; angles 90.00, 90.00, 90.00 degrees
With the nearest neighbours (Å) after each atom.
Atoms (fractional coordinates):
Cu1 0.5000 0.5000 0.5000  4 Ga 2.39
Ga1 0.0000 0.5000 0.0000  4 Cu 2.39
C1 0.0000 0.0000 0.0000  4 Be 1.69
Be1 0.0000 0.0000 0.5000  2 C 1.69
Be2 0.5000 0.0000 0.0000  2 C 1.69

## Properties
- E_form: 0.30 eV per atom
- Space group: No. 123

***

Entry 20:
Material: BeCu2GeC
Method: DFT, GGA-PBE
State: optimized geometry

Cell lengths 4.5911, 3.7291, 4.5911 Å; angles 90.00, 90.00, 90.00 degrees
With the nearest neighbours (Å) after each atom.
Atoms (fractional coordinates):
Be1 0.5000 0.5000 0.5000  8 Cu 2.96, 4 C 3.25
Cu1 0.0000 0.0000 0.5000  2 Ge 2.30
Ge1 0.0000 0.0000 0.0000  2 C 1.86
Cu2 0.5000 0.0000 0.0000  2 Ge 2.30
C1 0.0000 0.5000 0.0000  2 Ge 1.86

## Properties
- E_form: 1.61 eV per atom
- Space group: No. 123

***

The records above give, respectively, total energy values of -6.1275, -2.6737, -5.4911, -5.4131, -0.7855, -2.3324, -1.6232, -2.7170, -3.6668, -3.1985, -3.4611, -4.6168, -4.5113, -3.1498, -5.3348, -5.5764, -5.5832, -6.6603, -4.4610, -3.5464 eV per atom.
The records above give, respectively, magnetization values of 0.000, 2.863, 0.894, 5.901, 2.883, 0.000, 0.000, 0.000, 0.000, 0.000, 0.000, 0.000, 0.000, 0.000, 0.000, 0.000, 0.000, 2.901, 0.000, 0.000 μB per formula unit.